Entry from the Alexandria database: crystalline Er2Ga3Tc at its relaxed geometry (GGA-PBE).

The structure in extended XYZ format:
```
6
Lattice="-2.322 2.689 4.960 2.322 -2.689 4.960 2.322 2.689 -4.960" Properties=species:S:1:pos:R:3 pbc="T T T"
Er 0.000 0.000 1.983
Er 0.000 0.000 7.936
Ga 2.322 0.000 0.000
Ga 2.322 0.000 3.718
Ga 0.000 2.689 1.241
Tc 0.000 0.000 4.960
```

Output
formation enthalpy at 0 K = -0.27 eV/atom
SG = Immm, No. 71
E_tot = -30.2 eV for the cell shown
DOS(E_F) = 0.39 states/eV/atom